[1]
LaMgB12 | PBE | relaxed

Its raw total energy is -90.45 eV/cell.

It has space group P4/mmm (No. 123), with a = 4.1318 Å, b = 4.1318 Å, c = 8.2800 Å, α = 90.00°, β = 90.00° and γ = 90.00°. Symmetry generates all atoms from La at (0.0000, 0.0000, 0.0000), Mg at (0.0000, 0.0000, 0.5000), B at (0.2002, 0.5000, 0.2522), B at (0.5000, 0.5000, 0.1009) and B at (0.5000, 0.5000, 0.4007).

[2]
LaMg3B | PBE | relaxed

Its raw total energy is -6.19 eV/cell. The value obtained for the relative energy among the computed polymorphs is 1769.8 meV/atom.

It has space group Pm-3m (No. 221), with a = 6.2295 Å, b = 6.2295 Å, c = 6.2295 Å, α = 90.00°, β = 90.00° and γ = 90.00°. Symmetry generates all atoms from La at (0.0000, 0.0000, 0.0000), Mg at (0.0000, 0.0000, 0.5000) and B at (0.5000, 0.5000, 0.5000).